Record 1
The following is a DFT calculation (PBE) of a relaxed Nb2SnSb crystal.

Cell lengths 3.175, 3.175, 10.293 Å; angles 81.13, 81.13, 60.00 degrees
Fractional positions:
Sb 0.500 0.500 0.500
Nb 0.092 0.092 0.725
Nb 0.908 0.908 0.275
Sn 0.000 0.000 0.000

Summary:
ΔE_f (raw)   434 meV per atom
E above lowest polymorph   1.637 eV per formula unit
VASP energy   -0.487 Ry per atom
Magnetic moment   0.0 Bohr magnetons per cell

Record 2
The following is a DFT calculation (PBE) of a relaxed Nb3SnSb crystal.

Cell lengths 7.493, 7.762, 7.762 Å; angles 81.85, 76.25, 76.25 degrees
Fractional positions:
Nb 0.628 0.719 0.068
Nb 0.872 0.932 0.281
Nb 0.372 0.281 0.932
Nb 0.128 0.068 0.719
Nb 0.976 0.311 0.999
Nb 0.524 0.001 0.689
Nb 0.024 0.689 0.001
Nb 0.476 0.999 0.311
Nb 0.350 0.702 0.754
Nb 0.150 0.246 0.298
Nb 0.650 0.298 0.246
Nb 0.850 0.754 0.702
Sn 0.250 0.954 0.046
Sn 0.750 0.046 0.954
Sn 0.250 0.399 0.601
Sn 0.750 0.601 0.399
Sb 0.678 0.460 0.826
Sb 0.822 0.174 0.540
Sb 0.322 0.540 0.174
Sb 0.178 0.826 0.460

Summary:
ΔE_f (raw)   136 meV per atom
E above lowest polymorph   0.000 eV per formula unit
VASP energy   -0.554 Ry per atom
Magnetic moment   0.0 Bohr magnetons per cell

Record 3
The following is a DFT calculation (PBE) of a relaxed NbSnSb2 crystal.

Cell lengths 6.516, 6.516, 8.157 Å; angles 66.46, 66.46, 90.00 degrees
Site moments in Bohr magnetons follow the coordinates.
Fractional positions:
Sb 0.590 0.125 0.250  -0.05
Sb 0.160 0.625 0.250  -0.05
Sb 0.375 0.410 0.750  -0.05
Sb 0.875 0.840 0.750  -0.05
Nb 0.500 0.500 0.000  1.02
Nb 0.250 0.750 0.500  1.01
Sn 0.000 0.000 0.000  0.02
Sn 0.750 0.250 0.500  0.02

Summary:
ΔE_f (raw)   408 meV per atom
VASP energy   -0.380 Ry per atom
Magnetic moment   2.2 Bohr magnetons per cell

Record 4
The following is a DFT calculation (PBE) of a relaxed Nb2SnSb crystal.

Cell lengths 6.381, 6.381, 7.741 Å; angles 65.66, 65.66, 90.00 degrees
Site moments in Bohr magnetons follow the coordinates.
Fractional positions:
Sb 0.000 0.000 0.000  -0.06
Sb 0.750 0.250 0.500  -0.06
Nb 0.626 0.125 0.250  1.01
Nb 0.124 0.625 0.250  1.05
Nb 0.375 0.374 0.750  1.04
Nb 0.875 0.876 0.750  1.03
Sn 0.500 0.500 0.000  -0.07
Sn 0.250 0.750 0.500  -0.07

Summary:
ΔE_f (raw)   1091 meV per atom
E above lowest polymorph   4.266 eV per formula unit
VASP energy   -0.439 Ry per atom
Magnetic moment   4.7 Bohr magnetons per cell

Question: Which value of ΔE_f (raw) does entry 3 give?
Answer: 408 meV per atom

Question: Which of these has the lowest VASP energy?
Answer: Nb3SnSb